Record 1
Entry from the Alexandria database: a relaxed structure of MnPSe2 (PBE-GGA).

Output
E_tot: -5.324 eV/atom

Lattice parameters (Å, degrees): 5.3210 5.3210 5.4464 90.00 90.00 90.00
Last column: nearest neighbours and their distance in Å.
Space group I4/mmm (No. 139)
One atom of each set of equivalent atoms:
1 Mn 0.0000 0.0000 0.0000 (multiplicity 2)  4 Se 2.66, 2 P 2.72
2 P 0.0000 0.0000 0.5000 (multiplicity 2)  4 Se 2.66, 2 Mn 2.72
3 Se 0.0000 0.5000 0.0000 (multiplicity 4)  2 P 2.66, 2 Mn 2.66, 2 Se 2.72

***

Record 2
Entry from the Alexandria database: a relaxed structure of RbNbSi3 (PBE-GGA).

Output
E_tot: -5.208 eV/atom
ΔE to the lowest computed polymorph: 0 meV/atom

Lattice parameters (Å, degrees): 4.9969 4.9969 4.9969 90.00 90.00 90.00
Last column: nearest neighbours and their distance in Å.
Space group Pm-3m (No. 221)
One atom of each set of equivalent atoms:
1 Rb 0.0000 0.0000 0.0000 (multiplicity 1)  12 Si 3.53
2 Nb 0.5000 0.5000 0.5000 (multiplicity 1)  6 Si 2.50
3 Si 0.0000 0.5000 0.5000 (multiplicity 3)  2 Nb 2.50

***

Record 3
Entry from the Alexandria database: a relaxed structure of K4CdAg5 (PBE-GGA).

Output
E_tot: -1.876 eV/atom
formation energy: 0.0800 eV per atom

Lattice parameters (Å, degrees): 6.7320 7.8751 7.8977 80.12 65.23 65.40
Last column: nearest neighbours and their distance in Å.
Space group P1 (No. 1)
One atom of each set of equivalent atoms:
1 K 0.0000 0.0000 0.0000 (multiplicity 1)  5 Ag 3.50-3.61, 1 Cd 3.55
2 K 0.1559 0.2214 0.4585 (multiplicity 1)  5 Ag 3.50-3.61, 1 Cd 3.55
3 K 0.3850 0.3814 0.8388 (multiplicity 1)  5 Ag 3.51-3.60, 1 Cd 3.54
4 K 0.7715 0.8397 0.6193 (multiplicity 1)  5 Ag 3.50-3.62, 1 Cd 3.56
5 Cd 0.2949 0.6106 0.2285 (multiplicity 1)  5 Ag 2.82-2.89
6 Ag 0.3933 0.7320 0.4986 (multiplicity 1)  3 Ag 2.88-3.00, 1 Cd 2.88
7 Ag 0.5134 0.8805 0.1085 (multiplicity 1)  1 Cd 2.89, 3 Ag 2.89-3.00
8 Ag 0.6585 0.3409 0.3504 (multiplicity 1)  3 Ag 2.88-3.00, 1 Cd 2.89
9 Ag 0.7792 0.4894 0.9598 (multiplicity 1)  3 Ag 2.87-3.00, 1 Cd 2.89
10 Ag 0.8759 0.6107 0.2297 (multiplicity 1)  1 Cd 2.82, 4 Ag 2.87-2.89

***

Record 4
Entry from the Alexandria database: a relaxed structure of NaLi3Au3 (PBE-GGA).

Output
E_tot: -2.573 eV/atom
formation energy: -0.1602 eV per atom

Lattice parameters (Å, degrees): 7.0551 7.0551 7.0551 90.00 90.00 90.00
Last column: nearest neighbours and their distance in Å.
Space group Pm-3n (No. 223)
One atom of each set of equivalent atoms:
1 Na 0.0000 0.0000 0.0000 (multiplicity 2)  12 Li 3.94, 12 Au 3.94
2 Li 0.0000 0.2500 0.5000 (multiplicity 6)  4 Au 2.49
3 Au 0.0000 0.5000 0.2500 (multiplicity 6)  4 Li 2.49

***

Record 5
Entry from the Alexandria database: a relaxed structure of MnNb2In2S6 (PBE-GGA).

Output
E_tot: -6.088 eV/atom

Lattice parameters (Å, degrees): 5.7824 10.4316 8.0805 90.00 104.72 90.00
Last column: nearest neighbours and their distance in Å.
Space group C2/m (No. 12)
One atom of each set of equivalent atoms:
1 Mn 0.0000 0.0000 0.0000 (multiplicity 2)  6 S 2.36-2.40
2 Nb 0.0000 0.3584 0.0000 (multiplicity 4)  6 S 2.45-2.61
3 In 0.0000 0.1858 0.5000 (multiplicity 4)  6 S 3.10-3.16, 2 In 3.19
4 S 0.2137 0.1633 0.1775 (multiplicity 8)  1 Mn 2.36, 2 Nb 2.46-2.61
5 S 0.2349 0.0000 0.7940 (multiplicity 4)  1 Mn 2.40, 2 Nb 2.45

***

Record 6
Entry from the Alexandria database: a relaxed structure of SmDyY5Sc2 (PBE-GGA).

Output
E_tot: -5.867 eV/atom
formation energy: 0.1669 eV per atom

Lattice parameters (Å, degrees): 5.6238 21.4290 9.3918 90.00 90.00 90.00
Last column: nearest neighbours and their distance in Å.
Space group Cmc2_1 (No. 36)
One atom of each set of equivalent atoms:
1 Sm 0.0000 0.1842 0.0000 (multiplicity 4)  2 Sc 3.15-3.25, 5 Y 3.37-3.47, 2 Dy 3.50
2 Dy 0.0000 0.4022 0.3997 (multiplicity 4)  3 Y 3.05-3.41
3 Y 0.0000 0.0100 0.9956 (multiplicity 4)  1 Sc 3.18, 2 Dy 3.50
4 Y 0.0000 0.2644 0.3174 (multiplicity 4)  1 Dy 3.05, 1 Sc 3.25, 2 Y 3.39
5 Y 0.0000 0.3066 0.6968 (multiplicity 4)  2 Sm 3.37, 5 Y 3.39-3.68, 3 Sc 3.45-3.67, 1 Dy 3.46
6 Y 0.0000 0.3888 0.0264 (multiplicity 4)  4 Sc 3.22-3.50, 3 Y 3.28-3.59, 1 Dy 3.52
7 Y 0.0000 0.4692 0.7288 (multiplicity 4)  2 Dy 3.19-3.41, 2 Y 3.28-3.50, 2 Sc 3.39
8 Sc 0.0000 0.1129 0.3052 (multiplicity 4)  8 Y 3.18-3.50, 1 Sm 3.25
9 Sc 0.0000 0.1353 0.6833 (multiplicity 4)  1 Sm 3.15, 2 Y 3.22

***

Record 7
Entry from the Alexandria database: a relaxed structure of K2HfCl5 (PBE-GGA).

Output
E_tot: -4.391 eV/atom

Lattice parameters (Å, degrees): 10.9576 7.6413 7.5800 90.00 120.51 90.00
Last column: nearest neighbours and their distance in Å.
Space group Cm (No. 8)
One atom of each set of equivalent atoms:
1 K 0.0000 0.0000 0.0000 (multiplicity 2)  7 Cl 3.19-3.40
2 K 0.0099 0.5000 0.4761 (multiplicity 2)  6 Cl 3.30-3.62
3 Hf 0.2553 0.0000 0.7649 (multiplicity 2)  5 Cl 2.43-2.50
4 Cl 0.0313 0.0000 0.4416 (multiplicity 2)  1 Hf 2.43
5 Cl 0.2788 0.2164 0.0219 (multiplicity 4)  1 Hf 2.47
6 Cl 0.3243 0.2449 0.6145 (multiplicity 4)  1 Hf 2.50

***

Record 8
Entry from the Alexandria database: a relaxed structure of Na2Cd2InPb2 (PBE-GGA).

Output
E_tot: -2.128 eV/atom
formation energy: -0.0387 eV per atom

Lattice parameters (Å, degrees): 8.6437 5.8042 8.8314 90.00 119.13 90.00
Last column: nearest neighbours and their distance in Å.
Space group C2/m (No. 12)
One atom of each set of equivalent atoms:
1 Na 0.1420 0.0000 0.4185 (multiplicity 4)  4 Cd 3.16-3.33, 1 In 3.28, 2 Pb 3.32-3.36, 3 Na 3.37-3.40
2 Cd 0.0727 0.5000 0.7071 (multiplicity 4)  4 Na 3.16-3.33, 4 Pb 3.22-3.51, 1 Cd 3.24, 1 In 3.32
3 In 0.0000 0.0000 0.0000 (multiplicity 2)  2 Na 3.28, 2 Cd 3.32, 6 Pb 3.33-3.39
4 Pb 0.2083 0.5000 0.1524 (multiplicity 4)  4 Cd 3.22-3.51, 1 Pb 3.28, 2 Na 3.32-3.36, 3 In 3.33-3.39

***

Record 9
Entry from the Alexandria database: a relaxed structure of Ni2Ge3Se3 (PBE-GGA).

Output
E_tot: -4.758 eV/atom

Lattice parameters (Å, degrees): 12.0493 12.0493 14.7143 90.00 90.00 120.00
Last column: nearest neighbours and their distance in Å.
Space group R-3 (No. 148, hexagonal axes)
One atom of each set of equivalent atoms:
1 Ni 0.0000 0.0000 0.2489 (multiplicity 6)  3 Ge 2.40, 3 Se 2.42
2 Ni 0.0013 0.5017 0.2515 (multiplicity 18)  3 Ge 2.38-2.40, 3 Se 2.44-2.47
3 Ge 0.0072 0.8341 0.8372 (multiplicity 18)  2 Ni 2.38-2.40, 1 Se 2.58
4 Ge 0.0573 0.4513 0.1072 (multiplicity 18)  2 Ni 2.38-2.40, 1 Se 2.58
5 Se 0.0199 0.8376 0.3328 (multiplicity 18)  2 Ni 2.42-2.47, 2 Ge 2.58-2.68
6 Se 0.0531 0.4513 0.5986 (multiplicity 18)  2 Ni 2.44-2.45, 2 Ge 2.58-2.69

***

Record 10
Entry from the Alexandria database: a relaxed structure of SiPSe2 (PBE-GGA).

Output
E_tot: -4.199 eV/atom
ΔE to the lowest computed polymorph: 338 meV/atom

Lattice parameters (Å, degrees): 2.6834 3.7882 7.5720 90.00 90.00 90.00
Last column: nearest neighbours and their distance in Å.
Space group Pmmm (No. 47)
One atom of each set of equivalent atoms:
1 Si 0.0000 0.0000 0.0000 (multiplicity 1)  4 Se 2.65, 2 Si 2.68
2 P 0.0000 0.0000 0.5000 (multiplicity 1)  2 P 2.68, 4 Se 2.70
3 Se 0.0000 0.5000 0.2454 (multiplicity 2)  2 Si 2.65, 2 Se 2.68, 2 P 2.70

***

Record 11
Entry from the Alexandria database: a relaxed structure of GaSbTe2C (PBE-GGA).

Output
E_tot: -2.733 eV/atom
ΔE to the lowest computed polymorph: 883 meV/atom

Lattice parameters (Å, degrees): 5.3790 5.3790 5.2969 90.00 90.00 90.00
Last column: nearest neighbours and their distance in Å.
Space group P4/mmm (No. 123)
One atom of each set of equivalent atoms:
1 Ga 0.0000 0.0000 0.0000 (multiplicity 1)  2 Sb 2.65, 4 Te 2.69
2 Sb 0.0000 0.0000 0.5000 (multiplicity 1)  2 Ga 2.65
3 Te 0.0000 0.5000 0.0000 (multiplicity 2)  2 Ga 2.69
4 C 0.5000 0.5000 0.5000 (multiplicity 1)  8 Te 3.77, 4 Sb 3.80

***

Record 12
Entry from the Alexandria database: a relaxed structure of GaSn2W (PBE-GGA).

Output
E_tot: -4.911 eV/atom
formation energy: 1.0850 eV per atom

Lattice parameters (Å, degrees): 6.2862 6.2862 12.4736 90.00 90.00 90.00
Last column: nearest neighbours and their distance in Å.
Space group I-42d (No. 122)
One atom of each set of equivalent atoms:
1 Ga 0.0000 0.0000 0.0000 (multiplicity 4)  4 Sn 2.76
2 Sn 0.2375 0.2500 0.6250 (multiplicity 8)  2 W 2.67, 2 Ga 2.76
3 W 0.0000 0.0000 0.5000 (multiplicity 4)  4 Sn 2.67